The following is a GGA-PBE calculation of a relaxed structure of TmPtS, from Alexandria.

Summary:
E = -35.95 eV per cell
Theoretical density = 10.13 Mg/m³
Calculated volume = 21.650 Å³ per atom

a = 4.1876 Å, b = 4.1876 Å, c = 7.4075 Å
α = 90.00°, β = 90.00°, γ = 90.00°
Closest atoms and distances in Å follow each position.
Fractional coordinates of all 6 atoms:
Tm: 0.7500 0.7500 0.7683  4 S 2.71, 4 Pt 2.89
Tm: 0.2500 0.2500 0.2317  4 S 2.71, 4 Pt 2.89
S: 0.7500 0.2500 0.0000  4 Tm 2.71, 4 S 2.96
S: 0.2500 0.7500 0.0000  4 Tm 2.71, 4 S 2.96
Pt: 0.2500 0.7500 0.5000  4 Tm 2.89, 4 Pt 2.96
Pt: 0.7500 0.2500 0.5000  4 Tm 2.89, 4 Pt 2.96

The following is a GGA-PBE calculation of a relaxed structure of NbRe3Si, from Alexandria.

Summary:
E = -48.52 eV per cell
Theoretical density = 13.30 Mg/m³
Calculated volume = 16.971 Å³ per atom

a = 4.3943 Å, b = 4.3943 Å, c = 4.3943 Å
α = 90.00°, β = 90.00°, γ = 90.00°
Closest atoms and distances in Å follow each position.
Fractional coordinates of all 5 atoms:
Re: 0.0000 0.0000 0.5000  2 Si 2.20
Re: 0.0000 0.5000 0.0000  2 Si 2.20
Re: 0.5000 0.0000 0.0000  2 Si 2.20
Si: 0.0000 0.0000 0.0000  6 Re 2.20
Nb: 0.5000 0.5000 0.5000  12 Re 3.11

The following is a GGA-PBE calculation of a relaxed structure of ScAgSnIr, from Alexandria.

Summary:
E = -23.84 eV per cell
Theoretical density = 10.55 Mg/m³
Calculated volume = 18.253 Å³ per atom

a = 4.6914 Å, b = 4.6914 Å, c = 4.6914 Å
α = 60.00°, β = 60.00°, γ = 60.00°
Closest atoms and distances in Å follow each position.
Fractional coordinates of all 4 atoms:
Ir: 0.0000 0.0000 0.0000  4 Sn 2.87, 4 Sc 2.87
Sc: 0.2500 0.2500 0.2500  4 Ir 2.87, 4 Ag 2.87
Sn: 0.7500 0.7500 0.7500  4 Ir 2.87, 4 Ag 2.87
Ag: 0.5000 0.5000 0.5000  4 Sn 2.87, 4 Sc 2.87

The following is a GGA-PBE calculation of a relaxed structure of BeSbPdI2, from Alexandria.

Summary:
E = -12.43 eV per cell
Theoretical density = 5.08 Mg/m³
Calculated volume = 32.117 Å³ per atom

a = 5.5584 Å, b = 5.5584 Å, c = 5.1977 Å
α = 90.00°, β = 90.00°, γ = 90.00°
Closest atoms and distances in Å follow each position.
Fractional coordinates of all 5 atoms:
Pd: 0.0000 0.0000 0.0000  2 Sb 2.60, 4 I 2.78
I: 0.0000 0.5000 0.0000  2 Pd 2.78
I: 0.5000 0.0000 0.0000  2 Pd 2.78
Be: 0.5000 0.5000 0.5000  8 I 3.80, 4 Sb 3.93
Sb: 0.0000 0.0000 0.5000  2 Pd 2.60

The following is a GGA-PBE calculation of a relaxed structure of ErIn2Sn, from Alexandria.

Summary:
E = -14.58 eV per cell
Theoretical density = 7.93 Mg/m³
Calculated volume = 26.977 Å³ per atom

a = 5.3434 Å, b = 5.3434 Å, c = 5.3444 Å
α = 60.01°, β = 60.01°, γ = 60.00°
Closest atoms and distances in Å follow each position.
Fractional coordinates of all 4 atoms:
Er: 0.5000 0.5000 0.5000  8 In 3.27
In: 0.7499 0.7499 0.7502  4 Sn 3.27, 4 Er 3.27
In: 0.2501 0.2501 0.2498  4 Sn 3.27, 4 Er 3.27
Sn: 0.0000 0.0000 0.0000  8 In 3.27

The following is a GGA-PBE calculation of a relaxed structure of PmNd2Mg2, from Alexandria.

Summary:
E = -35.74 eV per cell
Theoretical density = 5.24 Mg/m³
Calculated volume = 30.581 Å³ per atom

a = 3.8632 Å, b = 5.5670 Å, c = 14.3515 Å
α = 90.00°, β = 97.78°, γ = 90.00°
Closest atoms and distances in Å follow each position.
Fractional coordinates of all 10 atoms:
Nd: 0.0452 0.7500 0.0895  8 Mg 3.33-3.40
Nd: 0.2362 0.7500 0.4742  2 Mg 3.36-3.37, 4 Nd 3.46-3.47, 2 Pm 3.74
Nd: 0.9548 0.2500 0.9105  8 Mg 3.33-3.40
Nd: 0.7638 0.2500 0.5258  2 Mg 3.36-3.37, 4 Nd 3.46-3.47, 2 Pm 3.74
Mg: 0.5528 0.2500 0.1061  2 Pm 3.34-3.35, 6 Nd 3.38-3.40, 2 Mg 3.73
Mg: 0.4472 0.7500 0.8939  2 Pm 3.34-3.35, 6 Nd 3.38-3.40, 2 Mg 3.73
Mg: 0.3588 0.2500 0.7198  4 Nd 3.33-3.37, 4 Pm 3.40, 2 Mg 3.73
Mg: 0.6412 0.7500 0.2802  4 Nd 3.33-3.37, 4 Pm 3.40, 2 Mg 3.73
Pm: 0.8495 0.7500 0.7018  6 Mg 3.34-3.40, 2 Nd 3.74
Pm: 0.1505 0.2500 0.2982  6 Mg 3.34-3.40, 2 Nd 3.74

The following is a GGA-PBE calculation of a relaxed structure of Sr2Pa2P5, from Alexandria.

Summary:
E = -117.96 eV per cell
Theoretical density = 6.11 Mg/m³
Calculated volume = 23.941 Å³ per atom

a = 7.6201 Å, b = 7.5909 Å, c = 8.3611 Å
α = 117.00°, β = 90.00°, γ = 90.00°
Closest atoms and distances in Å follow each position.
Fractional coordinates of all 18 atoms:
P: 0.5000 0.5000 0.0000  4 Pa 2.86-2.87, 2 Sr 3.01
P: 0.1452 0.4734 0.2384  3 Pa 2.76-2.92
P: 0.0000 0.0000 0.0000  4 Pa 2.86-2.87, 2 Sr 3.01
P: 0.6452 0.0266 0.7616  3 Pa 2.76-2.92
P: 0.8548 0.7651 0.2384  3 Pa 2.76-2.92
P: 0.6452 0.2651 0.2384  3 Pa 2.76-2.92
P: 0.1452 0.2349 0.7616  3 Pa 2.76-2.92
P: 0.3548 0.9734 0.2384  3 Pa 2.76-2.92
P: 0.3548 0.7349 0.7616  3 Pa 2.76-2.92
P: 0.8548 0.5266 0.7616  3 Pa 2.76-2.92
Sr: 0.5000 0.7020 0.4040  7 P 3.01-3.17
Sr: 0.0000 0.2020 0.4040  7 P 3.01-3.17
Sr: 0.0000 0.7980 0.5960  7 P 3.01-3.17
Sr: 0.5000 0.2980 0.5960  7 P 3.01-3.17
Pa: 0.6586 0.8417 0.0000  8 P 2.76-2.92
Pa: 0.8414 0.3417 0.0000  8 P 2.76-2.92
Pa: 0.1586 0.6583 0.0000  8 P 2.76-2.92
Pa: 0.3414 0.1583 0.0000  8 P 2.76-2.92

The following is a GGA-PBE calculation of a relaxed structure of K2MgCrBr6, from Alexandria.

Summary:
E = -72.77 eV per cell
Theoretical density = 3.49 Mg/m³
Calculated volume = 30.126 Å³ per atom

a = 7.3679 Å, b = 7.8505 Å, c = 10.4175 Å
α = 90.00°, β = 90.70°, γ = 90.00°
Closest atoms and distances in Å follow each position.
Fractional coordinates of all 20 atoms:
Cr: 0.0000 0.5000 0.5000  4 Br 2.57-2.59
Cr: 0.5000 0.0000 0.0000  4 Br 2.57-2.59
Br: 0.2837 0.6880 0.4616  1 Cr 2.59
Br: 0.7163 0.3120 0.5384  1 Cr 2.59
Br: 0.4195 0.9974 0.7591  1 Cr 2.57, 1 Mg 2.77
Br: 0.5805 0.0026 0.2409  1 Cr 2.57, 1 Mg 2.77
Br: 0.2814 0.6847 0.0389  1 Mg 2.56
Br: 0.2186 0.1847 0.4611  1 Mg 2.56
Br: 0.2163 0.1880 0.0384  1 Cr 2.59
Br: 0.9195 0.5026 0.2591  1 Cr 2.57, 1 Mg 2.77
Br: 0.7837 0.8120 0.9616  1 Cr 2.59
Br: 0.7814 0.8153 0.5389  1 Mg 2.56
Br: 0.7186 0.3153 0.9611  1 Mg 2.56
Br: 0.0805 0.4974 0.7409  1 Cr 2.57, 1 Mg 2.77
K: 0.4769 0.4236 0.2503  8 Br 3.32-3.62
K: 0.0231 0.9236 0.2497  8 Br 3.32-3.62
K: 0.9769 0.0764 0.7503  8 Br 3.32-3.62
K: 0.5231 0.5764 0.7497  8 Br 3.32-3.62
Mg: 0.0000 0.5000 0.0000  4 Br 2.56-2.77
Mg: 0.5000 0.0000 0.5000  4 Br 2.56-2.77

The following is a GGA-PBE calculation of a relaxed structure of YHgPd3, from Alexandria.

Summary:
E = -48.20 eV per cell
Theoretical density = 9.61 Mg/m³
Calculated volume = 21.027 Å³ per atom

a = 5.5171 Å, b = 6.6316 Å, c = 6.6316 Å
α = 119.93°, β = 90.00°, γ = 90.00°
Closest atoms and distances in Å follow each position.
Fractional coordinates of all 10 atoms:
Pd: 0.7500 0.2021 0.4034  2 Pd 2.62, 2 Hg 2.70
Pd: 0.2500 0.7981 0.2019  2 Pd 2.62, 2 Hg 2.70
Pd: 0.2500 0.7979 0.5966  2 Pd 2.62, 2 Hg 2.70
Pd: 0.7500 0.2019 0.7981  2 Pd 2.62, 2 Hg 2.70
Pd: 0.7500 0.5966 0.7979  2 Pd 2.62, 2 Hg 2.70
Pd: 0.2500 0.4034 0.2021  2 Pd 2.62, 2 Hg 2.70
Y: 0.7500 0.6664 0.3336  12 Pd 3.15-3.35
Y: 0.2500 0.3336 0.6664  12 Pd 3.15-3.35
Hg: 0.5000 0.0000 0.0000  6 Pd 2.70, 2 Hg 2.76
Hg: 0.0000 0.0000 0.0000  6 Pd 2.70, 2 Hg 2.76

The following is a GGA-PBE calculation of a relaxed structure of Tm2ZrZn, from Alexandria.

Summary:
E = -18.90 eV per cell
Theoretical density = 8.15 Mg/m³
Calculated volume = 25.173 Å³ per atom

a = 3.4397 Å, b = 3.4397 Å, c = 10.0235 Å
α = 80.14°, β = 80.14°, γ = 60.01°
Closest atoms and distances in Å follow each position.
Fractional coordinates of all 4 atoms:
Tm: 0.0778 0.0778 0.7660  3 Zn 3.05, 3 Zr 3.28-3.29
Tm: 0.2557 0.2557 0.2332  3 Zn 3.03, 3 Zr 3.29
Zr: 0.5001 0.5001 0.4998  6 Tm 3.28-3.29, 6 Zr 3.44
Zn: 0.6664 0.6664 0.0010  6 Tm 3.03-3.05

The following is a GGA-PBE calculation of a relaxed structure of PaIrPbO6, from Alexandria.

Summary:
E = -137.12 eV per cell
Theoretical density = 8.44 Mg/m³
Calculated volume = 15.880 Å³ per atom

a = 5.5591 Å, b = 5.5591 Å, c = 10.6804 Å
α = 90.00°, β = 90.00°, γ = 120.00°
Closest atoms and distances in Å follow each position.
Fractional coordinates of all 18 atoms:
O: 0.9746 0.6225 0.3542  1 Ir 2.00, 1 Pa 2.19
O: 0.0254 0.3775 0.6458  1 Ir 2.00, 1 Pa 2.19
O: 0.0254 0.6479 0.8542  1 Ir 2.00, 1 Pa 2.19
O: 0.9746 0.3521 0.1458  1 Ir 2.00, 1 Pa 2.19
O: 0.3775 0.3521 0.3542  1 Ir 2.00, 1 Pa 2.19
O: 0.3775 0.0254 0.1458  1 Ir 2.00, 1 Pa 2.19
O: 0.6225 0.6479 0.6458  1 Ir 2.00, 1 Pa 2.19
O: 0.6479 0.0254 0.3542  1 Ir 2.00, 1 Pa 2.19
O: 0.3521 0.3775 0.8542  1 Ir 2.00, 1 Pa 2.19
O: 0.6225 0.9746 0.8542  1 Ir 2.00, 1 Pa 2.19
O: 0.3521 0.9746 0.6458  1 Ir 2.00, 1 Pa 2.19
O: 0.6479 0.6225 0.1458  1 Ir 2.00, 1 Pa 2.19
Pb: 0.0000 0.0000 0.0000  6 O 2.56
Pb: 0.0000 0.0000 0.5000  6 O 2.56
Pa: 0.6667 0.3333 0.7500  6 O 2.19
Pa: 0.3333 0.6667 0.2500  6 O 2.19
Ir: 0.3333 0.6667 0.7500  6 O 2.00
Ir: 0.6667 0.3333 0.2500  6 O 2.00

The following is a GGA-PBE calculation of a relaxed structure of CoRh, from Alexandria.

Summary:
E = -43.01 eV per cell
Theoretical density = 10.53 Mg/m³
Calculated volume = 12.759 Å³ per atom

a = 2.6535 Å, b = 7.8857 Å, c = 3.6585 Å
α = 90.00°, β = 90.00°, γ = 90.00°
Closest atoms and distances in Å follow each position.
Fractional coordinates of all 6 atoms:
Rh: 0.0000 0.6667 0.0000  10 Rh 2.65-2.68, 2 Co 2.75
Rh: 0.5000 0.8485 0.5000  5 Co 2.51-2.62, 6 Rh 2.65-2.68
Rh: 0.5000 0.4849 0.5000  5 Co 2.51-2.62, 6 Rh 2.65-2.68
Co: 0.0000 0.3177 0.0000  7 Co 2.38-2.65, 4 Rh 2.62
Co: 0.5000 0.1667 0.5000  2 Rh 2.51, 10 Co 2.55-2.65
Co: 0.0000 0.0156 0.0000  7 Co 2.38-2.65, 4 Rh 2.62

The following is a GGA-PBE calculation of a relaxed structure of TbAl2Pd7, from Alexandria.

Summary:
E = -52.13 eV per cell
Theoretical density = 7.96 Mg/m³
Calculated volume = 19.976 Å³ per atom

a = 4.5351 Å, b = 7.0425 Å, c = 7.0425 Å
α = 117.36°, β = 90.00°, γ = 90.00°
Closest atoms and distances in Å follow each position.
Fractional coordinates of all 10 atoms:
Tb: 0.0000 0.0000 0.0000  10 Pd 2.78-3.04
Pd: 0.0000 0.7693 0.2307  2 Al 2.42
Pd: 0.0000 0.2307 0.7693  2 Al 2.42
Pd: 0.5000 0.5000 0.5000  2 Al 2.41
Pd: 0.5000 0.6885 0.9334  2 Al 2.46-2.54, 1 Pd 2.71
Pd: 0.5000 0.3115 0.0666  2 Al 2.46-2.54, 1 Pd 2.71
Pd: 0.5000 0.0666 0.3115  2 Al 2.46-2.54, 1 Pd 2.71
Pd: 0.5000 0.9334 0.6885  2 Al 2.46-2.54, 1 Pd 2.71
Al: 0.5000 0.7001 0.2999  7 Pd 2.41-2.54
Al: 0.5000 0.2999 0.7001  7 Pd 2.41-2.54

The following is a GGA-PBE calculation of a relaxed structure of LiTmLuSn, from Alexandria.

Summary:
E = -16.32 eV per cell
Theoretical density = 8.14 Mg/m³
Calculated volume = 23.938 Å³ per atom

a = 5.1352 Å, b = 5.1352 Å, c = 5.1352 Å
α = 60.00°, β = 60.00°, γ = 60.00°
Closest atoms and distances in Å follow each position.
Fractional coordinates of all 4 atoms:
Lu: 0.0000 0.0000 0.0000  4 Sn 3.14, 4 Li 3.14
Tm: 0.5000 0.5000 0.5000  4 Li 3.14, 4 Sn 3.14
Li: 0.7500 0.7500 0.7500  4 Lu 3.14, 4 Tm 3.14
Sn: 0.2500 0.2500 0.2500  4 Tm 3.14, 4 Lu 3.14

The following is a GGA-PBE calculation of a relaxed structure of RbHg2Te2, from Alexandria.

Summary:
E = -17.58 eV per cell
Theoretical density = 7.60 Mg/m³
Calculated volume = 32.425 Å³ per atom

a = 9.0370 Å, b = 9.0370 Å, c = 3.9704 Å
α = 90.00°, β = 90.00°, γ = 90.00°
Closest atoms and distances in Å follow each position.
Fractional coordinates of all 10 atoms:
Te: 0.1487 0.3513 0.0000  6 Hg 3.24-3.35, 2 Rb 3.45
Te: 0.8513 0.6487 0.0000  6 Hg 3.24-3.35, 2 Rb 3.45
Te: 0.6487 0.1487 0.0000  6 Hg 3.24-3.35, 2 Rb 3.45
Te: 0.3513 0.8513 0.0000  6 Hg 3.24-3.35, 2 Rb 3.45
Hg: 0.8495 0.3495 0.5000  6 Te 3.24-3.35
Hg: 0.3495 0.1505 0.5000  6 Te 3.24-3.35
Hg: 0.1505 0.6505 0.5000  6 Te 3.24-3.35
Hg: 0.6505 0.8495 0.5000  6 Te 3.24-3.35
Rb: 0.0000 0.0000 0.0000  4 Te 3.45
Rb: 0.5000 0.5000 0.0000  4 Te 3.45

The following is a GGA-PBE calculation of a relaxed structure of SrPBr, from Alexandria.

Summary:
E = -11.05 eV per cell
Theoretical density = 3.26 Mg/m³
Calculated volume = 33.666 Å³ per atom

a = 6.2923 Å, b = 6.2923 Å, c = 6.2923 Å
α = 140.25°, β = 140.25°, γ = 57.48°
Closest atoms and distances in Å follow each position.
Fractional coordinates of all 3 atoms:
Sr: 0.7096 0.7096 0.0000  4 P 3.07
Br: 0.0353 0.0353 0.0000  1 P 2.43
P: 0.2551 0.2551 0.0000  1 Br 2.43

The following is a GGA-PBE calculation of a relaxed structure of SrNd5In6, from Alexandria.

Summary:
E = -47.58 eV per cell
Theoretical density = 6.97 Mg/m³
Calculated volume = 29.739 Å³ per atom

a = 5.5269 Å, b = 7.7764 Å, c = 9.5760 Å
α = 113.96°, β = 106.77°, γ = 90.00°
Closest atoms and distances in Å follow each position.
Fractional coordinates of all 12 atoms:
In: 0.8308 0.0875 0.6616  7 Nd 3.33-3.41, 1 Sr 3.45
In: 0.1692 0.9125 0.3384  7 Nd 3.33-3.41, 1 Sr 3.45
In: 0.8308 0.5741 0.6616  7 Nd 3.33-3.41, 1 Sr 3.45
In: 0.1692 0.4259 0.3384  7 Nd 3.33-3.41, 1 Sr 3.45
In: 0.5000 0.2637 0.0000  6 Nd 3.32-3.37, 2 Sr 3.44, 1 In 3.68
In: 0.5000 0.7363 0.0000  6 Nd 3.32-3.37, 2 Sr 3.44, 1 In 3.68
Nd: 0.6597 0.1597 0.3194  8 In 3.35-3.41
Nd: 0.3297 0.3297 0.6595  8 In 3.33-3.37
Nd: 0.3403 0.8403 0.6806  8 In 3.35-3.41
Nd: 0.6703 0.6703 0.3405  8 In 3.33-3.37
Nd: 0.0000 0.5000 0.0000  8 In 3.32-3.39
Sr: 0.0000 0.0000 0.0000  8 In 3.44-3.45, 4 Nd 3.83

The following is a GGA-PBE calculation of a relaxed structure of LaSbN2, from Alexandria.

Summary:
E = -26.55 eV per cell
Theoretical density = 5.83 Mg/m³
Calculated volume = 20.558 Å³ per atom

a = 6.9259 Å, b = 6.9259 Å, c = 6.9259 Å
α = 31.86°, β = 31.86°, γ = 31.86°
Closest atoms and distances in Å follow each position.
Fractional coordinates of all 4 atoms:
La: 0.5000 0.5000 0.5000  6 N 2.53
N: 0.8967 0.8967 0.8967  1 Sb 2.04
N: 0.1033 0.1033 0.1033  1 Sb 2.04
Sb: 0.0000 0.0000 0.0000  2 N 2.04

The following is a GGA-PBE calculation of a relaxed structure of Nd8SmEr3, from Alexandria.

Summary:
E = -55.73 eV per cell
Theoretical density = 7.30 Mg/m³
Calculated volume = 34.252 Å³ per atom

a = 6.6881 Å, b = 8.8077 Å, c = 12.3085 Å
α = 90.12°, β = 137.79°, γ = 68.76°
Closest atoms and distances in Å follow each position.
Fractional coordinates of all 12 atoms:
Er: 0.6023 0.4136 0.4146  1 Sm 3.38, 2 Er 3.40-3.49, 6 Nd 3.45-3.71
Er: 0.5184 0.7144 0.1907  8 Nd 3.34-3.73, 1 Er 3.40, 1 Sm 3.48
Er: 0.4803 0.2802 0.8073  7 Nd 3.32-3.70, 1 Sm 3.43, 1 Er 3.49
Nd: 0.2689 0.4289 0.9883  3 Er 3.46-3.87, 7 Nd 3.47-3.85, 1 Sm 3.48
Nd: 0.9446 0.9164 0.1846  6 Nd 3.46-3.87, 3 Er 3.54-3.80, 1 Sm 3.65
Nd: 0.7338 0.5620 0.0128  3 Er 3.45-3.48, 6 Nd 3.48-3.69
Nd: 0.0520 0.0802 0.8094  5 Nd 3.46-3.85, 3 Er 3.56-3.65, 1 Sm 3.86
Nd: 0.5646 0.8986 0.7601  1 Er 3.32, 1 Sm 3.48, 5 Nd 3.48-3.71
Nd: 0.8367 0.7410 0.5941  5 Nd 3.49-3.62, 3 Er 3.54-3.73, 2 Sm 3.56-3.61
Nd: 0.4509 0.0931 0.2471  2 Er 3.34-3.49, 5 Nd 3.47-3.73
Nd: 0.1582 0.2518 0.4062  5 Nd 3.49-3.65, 4 Er 3.54-3.70, 1 Sm 3.77
Sm: 0.3875 0.5894 0.5812  3 Er 3.38-3.48, 6 Nd 3.48-3.77

The following is a GGA-PBE calculation of a relaxed structure of CeNbRe4, from Alexandria.

Summary:
E = -65.47 eV per cell
Theoretical density = 14.96 Mg/m³
Calculated volume = 18.088 Å³ per atom

a = 5.3541 Å, b = 5.3541 Å, c = 5.3541 Å
α = 60.00°, β = 60.00°, γ = 60.00°
Closest atoms and distances in Å follow each position.
Fractional coordinates of all 6 atoms:
Ce: 0.2500 0.2500 0.2500  12 Re 3.14, 4 Nb 3.28
Re: 0.6254 0.6254 0.6254  6 Re 2.67-2.68
Re: 0.6254 0.6254 0.1239  6 Re 2.67-2.68
Re: 0.1239 0.6254 0.6254  6 Re 2.67-2.68
Re: 0.6254 0.1239 0.6254  6 Re 2.67-2.68
Nb: 0.0000 0.0000 0.0000  12 Re 3.14, 4 Ce 3.28